Computed, not measured: AcBe4V3O12 after structural relaxation at the PBE+U level of DFT.

Calculated values
DOS(E_F) (states/eV per atom): 0.2508
Uncorrected energy (eV/f.u.): -147.8
Total magnetization (Bohr magnetons per cell): 2.00
Space-group type: No. 155

Cell lengths 6.290, 6.290, 6.290 Å; angles 105.81, 105.81, 105.81 degrees
Atoms (fractional coordinates):
Ac 0.000 0.000 0.000
Be 0.937 0.063 0.500
Be 0.063 0.500 0.937
Be 0.500 0.937 0.063
Be 0.500 0.500 0.500
V 0.558 0.442 0.000
V 0.442 0.000 0.558
V 0.000 0.558 0.442
O 0.500 0.343 0.657
O 0.908 0.500 0.092
O 0.092 0.908 0.500
O 0.500 0.092 0.908
O 0.376 0.970 0.243
O 0.243 0.376 0.970
O 0.970 0.243 0.376
O 0.624 0.757 0.030
O 0.030 0.624 0.757
O 0.757 0.030 0.624
O 0.657 0.500 0.343
O 0.343 0.657 0.500